Record 1
Compound: GaNi15
Source: the Open Quantum Materials Database
Functional: GGA-PBE
Structure: optimized geometry

a = 3.504 Å, b = 3.504 Å, c = 41.322 Å
α = 90.00°, β = 90.00°, γ = 90.00°
Fractional coordinates of all 32 atoms:
Ga 0.000 0.000 0.000
Ga 0.000 0.500 0.358
Ni 0.000 0.000 0.403
Ni 0.000 0.000 0.488
Ni 0.000 0.000 0.573
Ni 0.000 0.000 0.658
Ni 0.000 0.000 0.743
Ni 0.000 0.000 0.828
Ni 0.000 0.000 0.912
Ni 0.000 0.500 0.445
Ni 0.000 0.500 0.530
Ni 0.000 0.500 0.615
Ni 0.000 0.500 0.700
Ni 0.000 0.500 0.785
Ni 0.000 0.500 0.870
Ni 0.000 0.500 0.955
Ni 0.500 0.000 0.360
Ni 0.500 0.000 0.445
Ni 0.500 0.000 0.530
Ni 0.500 0.000 0.615
Ni 0.500 0.000 0.700
Ni 0.500 0.000 0.785
Ni 0.500 0.000 0.870
Ni 0.500 0.000 0.955
Ni 0.500 0.500 0.403
Ni 0.500 0.500 0.488
Ni 0.500 0.500 0.573
Ni 0.500 0.500 0.658
Ni 0.500 0.500 0.743
Ni 0.500 0.500 0.828
Ni 0.500 0.500 0.913
Ni 0.500 0.500 0.998

Summary:
The value obtained for the uncorrected energy is -172.808 eV for the cell shown. Its distance to the lowest polymorph of the same formula is 0.000 eV/atom.

---

Record 2
Compound: Ga4Ni
Source: the Open Quantum Materials Database
Functional: GGA-PBE
Structure: optimized geometry

a = 5.366 Å, b = 5.366 Å, c = 5.707 Å
α = 90.00°, β = 90.00°, γ = 90.00°
Fractional coordinates of all 10 atoms:
Ga 0.148 0.270 0.175
Ga 0.230 0.352 0.675
Ga 0.270 0.852 0.825
Ga 0.352 0.770 0.325
Ga 0.648 0.230 0.325
Ga 0.730 0.148 0.825
Ga 0.770 0.648 0.675
Ga 0.852 0.730 0.175
Ni 0.000 0.000 0.500
Ni 0.500 0.500 0.000

Summary:
The value obtained for the uncorrected energy is -36.618 eV for the cell shown.

---

Record 3
Compound: GaNi15
Source: the Open Quantum Materials Database
Functional: GGA-PBE
Structure: optimized geometry

a = 5.038 Å, b = 2.555 Å, c = 39.592 Å
α = 90.00°, β = 90.00°, γ = 90.00°
Fractional coordinates of all 32 atoms:
Ga 0.000 0.000 0.000
Ga 0.250 0.500 0.360
Ni 0.000 0.000 0.488
Ni 0.000 0.000 0.574
Ni 0.000 0.000 0.658
Ni 0.000 0.000 0.743
Ni 0.000 0.000 0.828
Ni 0.000 0.000 0.913
Ni 0.250 0.500 0.446
Ni 0.250 0.500 0.530
Ni 0.250 0.500 0.616
Ni 0.250 0.500 0.701
Ni 0.250 0.500 0.786
Ni 0.250 0.500 0.871
Ni 0.252 0.500 0.956
Ni 0.500 0.000 0.488
Ni 0.500 0.000 0.574
Ni 0.500 0.000 0.658
Ni 0.500 0.000 0.743
Ni 0.500 0.000 0.828
Ni 0.500 0.000 0.913
Ni 0.500 0.000 0.999
Ni 0.502 0.000 0.403
Ni 0.748 0.500 0.956
Ni 0.750 0.500 0.361
Ni 0.750 0.500 0.446
Ni 0.750 0.500 0.531
Ni 0.750 0.500 0.616
Ni 0.750 0.500 0.701
Ni 0.750 0.500 0.786
Ni 0.750 0.500 0.871
Ni 0.997 0.000 0.403

Summary:
The value obtained for the uncorrected energy is -171.229 eV for the cell shown. Its distance to the lowest polymorph of the same formula is 0.049 eV/atom.

---

Record 4
Compound: Ga2Ni9
Source: the Open Quantum Materials Database
Functional: GGA-PBE
Structure: optimized geometry

a = 2.544 Å, b = 2.544 Å, c = 31.717 Å
α = 90.00°, β = 90.00°, γ = 120.00°
Fractional coordinates of all 11 atoms:
Ga 0.333 0.667 0.318
Ga 0.667 0.333 0.682
Ni 0.000 0.000 0.000
Ni 0.000 0.000 0.188
Ni 0.000 0.000 0.812
Ni 0.333 0.667 0.125
Ni 0.333 0.667 0.748
Ni 0.333 0.667 0.937
Ni 0.667 0.333 0.063
Ni 0.667 0.333 0.252
Ni 0.667 0.333 0.875

Summary:
The value obtained for the uncorrected energy is -55.616 eV for the cell shown.

---

Record 5
Compound: GaNi8
Source: the Open Quantum Materials Database
Functional: GGA-PBE
Structure: optimized geometry

a = 4.267 Å, b = 4.267 Å, c = 28.286 Å
α = 90.12°, β = 90.12°, γ = 48.18°
Fractional coordinates of all 18 atoms:
Ga 0.052 0.052 0.264
Ga 0.948 0.948 0.736
Ni 0.050 0.050 0.542
Ni 0.151 0.151 0.625
Ni 0.152 0.152 0.347
Ni 0.251 0.251 0.431
Ni 0.251 0.251 0.710
Ni 0.350 0.350 0.514
Ni 0.448 0.448 0.318
Ni 0.450 0.450 0.598
Ni 0.550 0.550 0.402
Ni 0.552 0.552 0.682
Ni 0.650 0.650 0.486
Ni 0.749 0.749 0.290
Ni 0.749 0.749 0.569
Ni 0.848 0.848 0.653
Ni 0.849 0.849 0.375
Ni 0.950 0.950 0.458

Summary:
The value obtained for the uncorrected energy is -94.514 eV for the cell shown.

---

Record 6
Compound: Ga9Ni13
Source: the Open Quantum Materials Database
Functional: GGA-PBE
Structure: optimized geometry

a = 6.362 Å, b = 6.362 Å, c = 8.492 Å
α = 117.09°, β = 117.09°, γ = 76.80°
Fractional coordinates of all 22 atoms:
Ga 0.000 0.000 0.000
Ga 0.208 0.208 0.667
Ga 0.250 0.671 0.191
Ga 0.329 0.750 0.809
Ga 0.330 0.330 0.387
Ga 0.670 0.670 0.613
Ga 0.671 0.250 0.191
Ga 0.750 0.329 0.809
Ga 0.792 0.792 0.333
Ni 0.000 0.500 0.500
Ni 0.042 0.565 0.839
Ni 0.051 0.051 0.321
Ni 0.240 0.760 0.500
Ni 0.242 0.242 0.987
Ni 0.435 0.958 0.161
Ni 0.500 0.000 0.500
Ni 0.500 0.500 0.000
Ni 0.565 0.042 0.839
Ni 0.758 0.758 0.013
Ni 0.760 0.240 0.500
Ni 0.949 0.949 0.679
Ni 0.958 0.435 0.161

Summary:
The value obtained for the uncorrected energy is -108.483 eV for the cell shown.